Entry 1:
An optimized crystal structure of CoSb, computed with PBE.

POSCAR file:
```
CoSb
1.0
3.992 0.000 0.000
0.000 3.099 0.000
0.000 0.000 6.379
Co Sb
2 2
direct
0.250 0.000 0.112
0.750 0.000 0.888
0.250 0.500 0.761
0.750 0.500 0.239
```

VASP energy in eV per atom: -5.42
Calculated density in g cm⁻³: 7.6
Raw formation energy in meV per atom: 189
N(E_F) in states/eV/cell: 5.8

=====

Entry 2:
An optimized crystal structure of CoSb, computed with PBE.

POSCAR file:
```
CoSb
1.0
3.088 0.000 0.000
0.000 3.989 0.000
0.000 0.000 12.803
Co Sb
4 4
direct
0.000 0.250 0.056
0.000 0.750 0.944
0.500 0.250 0.444
0.500 0.750 0.556
0.000 0.250 0.619
0.000 0.750 0.381
0.500 0.250 0.881
0.500 0.750 0.119
```

VASP energy in eV per atom: -5.43
Calculated density in g cm⁻³: 7.6
Raw formation energy in meV per atom: 181
N(E_F) in states/eV/cell: 11.8

=====

Entry 3:
An optimized crystal structure of CoSb, computed with PBE.

POSCAR file:
```
CoSb
1.0
6.947 0.000 0.000
0.000 6.947 0.000
0.000 0.000 6.947
Co Sb
6 6
direct
0.000 0.250 0.500
0.000 0.750 0.500
0.250 0.500 0.000
0.500 0.000 0.250
0.500 0.000 0.750
0.750 0.500 0.000
0.000 0.500 0.250
0.000 0.500 0.750
0.250 0.000 0.500
0.500 0.250 0.000
0.500 0.750 0.000
0.750 0.000 0.500
```

VASP energy in eV per atom: -5.09
Calculated density in g cm⁻³: 5.4
Raw formation energy in meV per atom: 520
N(E_F) in states/eV/cell: 12.0

=====

Entry 4:
An optimized crystal structure of CoSb, computed with PBE.

POSCAR file:
```
CoSb
1.0
3.239 0.000 0.000
-1.619 2.805 0.000
0.000 0.000 11.251
Co Sb
3 3
direct
0.000 0.000 0.000
0.333 0.667 0.667
0.667 0.333 0.333
0.000 0.000 0.500
0.333 0.667 0.167
0.667 0.333 0.833
```

VASP energy in eV per atom: -5.38
Calculated density in g cm⁻³: 8.8
Raw formation energy in meV per atom: 234
N(E_F) in states/eV/cell: 7.3

=====

Entry 5:
An optimized crystal structure of Co2Sb3, computed with PBE.

POSCAR file:
```
Co2Sb3
1.0
3.771 0.000 0.000
-1.885 3.266 0.000
0.000 0.000 24.044
Co Sb
6 9
direct
0.000 0.000 0.110
0.000 0.000 0.890
0.333 0.667 0.557
0.333 0.667 0.777
0.667 0.333 0.223
0.667 0.333 0.443
0.000 0.000 0.280
0.000 0.000 0.500
0.000 0.000 0.720
0.333 0.667 0.167
0.333 0.667 0.386
0.333 0.667 0.947
0.667 0.333 0.053
0.667 0.333 0.614
0.667 0.333 0.833
```

VASP energy in eV per atom: -5.23
Calculated density in g cm⁻³: 8.1
Raw formation energy in meV per atom: 86
N(E_F) in states/eV/cell: 15.4

=====

Entry 6:
An optimized crystal structure of CoSb, computed with PBE.

POSCAR file:
```
CoSb
1.0
10.168 0.000 0.000
0.000 10.168 0.000
0.000 0.000 3.705
Co Sb
8 8
direct
0.176 0.718 0.000
0.218 0.324 0.500
0.282 0.176 0.000
0.324 0.782 0.500
0.676 0.218 0.500
0.718 0.824 0.000
0.782 0.676 0.500
0.824 0.282 0.000
0.062 0.288 0.000
0.212 0.562 0.500
0.288 0.938 0.000
0.438 0.212 0.500
0.562 0.788 0.500
0.712 0.062 0.000
0.788 0.438 0.500
0.938 0.712 0.000
```

VASP energy in eV per atom: -5.38
Calculated density in g cm⁻³: 6.3
Raw formation energy in meV per atom: 234
N(E_F) in states/eV/cell: 17.8

=====

Entry 7:
An optimized crystal structure of CoSb, computed with PBE.

POSCAR file:
```
CoSb
1.0
3.600 0.000 0.000
-1.800 3.118 0.000
0.000 0.000 7.253
Co Sb
2 2
direct
0.333 0.667 0.082
0.667 0.333 0.918
0.333 0.667 0.718
0.667 0.333 0.282
```

VASP energy in eV per atom: -5.40
Calculated density in g cm⁻³: 7.4
Raw formation energy in meV per atom: 214
N(E_F) in states/eV/cell: 2.8

=====

Entry 8:
An optimized crystal structure of CoSb, computed with PBE.

POSCAR file:
```
CoSb
1.0
8.906 0.000 0.000
0.000 8.906 0.000
0.000 0.000 4.028
Co Sb
8 8
direct
0.059 0.386 0.000
0.109 0.570 0.500
0.386 0.941 0.000
0.430 0.109 0.500
0.570 0.891 0.500
0.614 0.059 0.000
0.891 0.430 0.500
0.941 0.614 0.000
0.121 0.232 0.500
0.232 0.879 0.500
0.269 0.583 0.000
0.417 0.269 0.000
0.583 0.731 0.000
0.731 0.417 0.000
0.768 0.121 0.500
0.879 0.768 0.500
```

VASP energy in eV per atom: -5.47
Calculated density in g cm⁻³: 7.5
Raw formation energy in meV per atom: 142
N(E_F) in states/eV/cell: 17.8